## VInNi2 (GGA-PBE)

Data for VInNi2 after structural relaxation.

Summary:
SG = I-42d
ΔH_f (0 K) = 0.37 eV per atom
Total energy = -5.48 eV per atom
N(E_F) = 1.24 states/eV/atom

a b c (Å): 6.748 6.748 5.485
angles (deg): 52.04 52.04 90.00
Element x y z (fractional)
Ni  0.589  0.125  0.250
Ni  0.161  0.625  0.250
Ni  0.375  0.411  0.750
Ni  0.875  0.839  0.750
In  0.000  0.000  0.000
In  0.750  0.250  0.500
V  0.500  0.500  0.000
V  0.250  0.750  0.500

## Th6FePb (GGA-PBE)

Data for Th6FePb after structural relaxation.

Summary:
SG = Amm2
ΔH_f (0 K) = 0.06 eV per atom
Total energy = -7.03 eV per atom
N(E_F) = 1.34 states/eV/atom

a b c (Å): 7.203 7.203 4.640
angles (deg): 90.00 90.00 96.64
Element x y z (fractional)
Th  0.846  0.625  0.000
Th  0.375  0.154  0.000
Th  0.352  0.648  0.000
Th  0.669  0.943  0.500
Th  0.057  0.331  0.500
Th  0.135  0.865  0.500
Fe  0.989  0.011  0.000
Pb  0.576  0.424  0.500

## Cs4Li3NpBr12 (GGA-PBE)

Data for Cs4Li3NpBr12 after structural relaxation.

Summary:
SG = Im-3m
Total energy = -3.58 eV per atom
E_form (uncorrected) = -1467.5 meV per atom
N(E_F) = 1.23 states/eV/atom

a b c (Å): 9.622 9.622 9.622
angles (deg): 109.47 109.47 109.47
Element x y z (fractional)
Cs  0.500  0.500  0.500
Cs  0.000  0.000  0.500
Cs  0.500  0.000  0.000
Cs  0.000  0.500  0.000
Li  0.500  0.000  0.500
Li  0.500  0.500  0.000
Li  0.000  0.500  0.500
Np  0.000  0.000  0.000
Br  0.250  0.500  0.750
Br  0.756  0.000  0.756
Br  0.244  0.000  0.244
Br  0.750  0.500  0.250
Br  0.756  0.756  0.000
Br  0.244  0.244  0.000
Br  0.750  0.250  0.500
Br  0.250  0.750  0.500
Br  0.500  0.250  0.750
Br  0.000  0.756  0.756
Br  0.500  0.750  0.250
Br  0.000  0.244  0.244

## ScFeAu2 (GGA-PBE)

Data for ScFeAu2 after structural relaxation.

Summary:
SG = P4mm
ΔH_f (0 K) = -0.28 eV per atom
Total energy = -5.62 eV per atom
N(E_F) = 0.86 states/eV/atom

a b c (Å): 3.437 3.437 5.901
angles (deg): 90.00 90.00 90.00
Element x y z (fractional)
Au  0.000  0.000  0.996
Au  0.500  0.500  0.274
Fe  0.000  0.000  0.480
Sc  0.500  0.500  0.750

Q: total energy of number 1 (VInNi2)?
A: -5.48 eV per atom

Q: The lowest total energy belongs to which entry?
A: Th6FePb

Q: What is the total energy in the third record?
A: -3.58 eV per atom